# BaW3N | Alexandria | PBE | relaxed
# * energy: -43.2 eV per formula unit
# * magnetization: 0.000 μB/atom
# * distance to the lowest polymorph of the same formula: 0.0 meV per atom
# * formation energy from raw total energies: 1.18 eV/atom
# * volume: 17.10 Å³ per atom
data_BaW3N
_space_group_name_H-M_alt 'P m -3 m'
_space_group_IT_number 221
_space_group_name_Hall '-P 4 2 3'
_cell_length_a 4.405
_cell_length_b 4.405
_cell_length_c 4.405
_cell_angle_alpha 90.00
_cell_angle_beta 90.00
_cell_angle_gamma 90.00
loop_
_atom_site_label
_atom_site_type_symbol
_atom_site_fract_x
_atom_site_fract_y
_atom_site_fract_z
Ba1 Ba 0.000 0.000 0.000
W1 W 0.000 0.500 0.500
N1 N 0.500 0.500 0.500